# PBE-GGA CaCu2Te, optimized geometry
data_CaCu2Te
_chemical_formula_sum 'Ca4 Cu8 Te4'
_symmetry_space_group_name_H-M 'P 1'
_symmetry_Int_Tables_number 1
_cell_length_a 6.958
_cell_length_b 6.958
_cell_length_c 6.958
_cell_angle_alpha 90.00
_cell_angle_beta 90.00
_cell_angle_gamma 90.00
loop_
_symmetry_equiv_pos_as_xyz
'x,y,z'
loop_
_atom_site_label
_atom_site_type_symbol
_atom_site_fract_x
_atom_site_fract_y
_atom_site_fract_z
Ca1 Ca 0.000 0.000 0.000
Ca2 Ca 0.000 0.500 0.500
Ca3 Ca 0.500 0.000 0.500
Ca4 Ca 0.500 0.500 0.000
Cu1 Cu 0.000 0.000 0.500
Cu2 Cu 0.000 0.500 0.000
Cu3 Cu 0.250 0.250 0.750
Cu4 Cu 0.250 0.750 0.250
Cu5 Cu 0.500 0.000 0.000
Cu6 Cu 0.500 0.500 0.500
Cu7 Cu 0.750 0.250 0.250
Cu8 Cu 0.750 0.750 0.750
Te1 Te 0.250 0.250 0.250
Te2 Te 0.250 0.750 0.750
Te3 Te 0.750 0.250 0.750
Te4 Te 0.750 0.750 0.250
# Raw formation energy, eV/atom: -0.081
# Symmetry: No. 216



# PBE-GGA ZrTlRu2, optimized geometry
data_ZrTlRu2
_chemical_formula_sum 'Zr1 Tl1 Ru2'
_symmetry_space_group_name_H-M 'P 1'
_symmetry_Int_Tables_number 1
_cell_length_a 3.308
_cell_length_b 3.308
_cell_length_c 6.481
_cell_angle_alpha 90.00
_cell_angle_beta 90.00
_cell_angle_gamma 90.00
loop_
_symmetry_equiv_pos_as_xyz
'x,y,z'
loop_
_atom_site_label
_atom_site_type_symbol
_atom_site_fract_x
_atom_site_fract_y
_atom_site_fract_z
Zr1 Zr 0.000 0.000 0.000
Tl1 Tl 0.000 0.000 0.500
Ru1 Ru 0.500 0.500 0.242
Ru2 Ru 0.500 0.500 0.758
# Offset from the most stable computed form, eV/atom: 0.013
# Energy of formation from the pure elements, eV/atom: -0.084
# Symmetry: No. 123



# PBE-GGA K2Tl2HgF6, optimized geometry
data_K2Tl2HgF6
_chemical_formula_sum 'K2 Tl2 Hg1 F6'
_symmetry_space_group_name_H-M 'P 1'
_symmetry_Int_Tables_number 1
_cell_length_a 6.536
_cell_length_b 6.536
_cell_length_c 6.687
_cell_angle_alpha 99.05
_cell_angle_beta 99.05
_cell_angle_gamma 118.17
loop_
_symmetry_equiv_pos_as_xyz
'x,y,z'
loop_
_atom_site_label
_atom_site_type_symbol
_atom_site_fract_x
_atom_site_fract_y
_atom_site_fract_z
K1 K 0.156 0.844 0.000
K2 K 0.844 0.156 0.000
Tl1 Tl 0.329 0.671 0.500
Tl2 Tl 0.671 0.329 0.500
Hg1 Hg 0.500 0.500 0.000
F1 F 0.142 0.451 0.801
F2 F 0.289 0.289 0.236
F3 F 0.451 0.142 0.801
F4 F 0.549 0.858 0.199
F5 F 0.711 0.711 0.764
F6 F 0.858 0.549 0.199
# Raw formation energy, eV/atom: -2.029
# Symmetry: No. 12



# PBE-GGA MgRe2Ru, optimized geometry
data_MgRe2Ru
_chemical_formula_sum 'Mg2 Re4 Ru2'
_symmetry_space_group_name_H-M 'P 1'
_symmetry_Int_Tables_number 1
_cell_length_a 5.211
_cell_length_b 8.826
_cell_length_c 2.722
_cell_angle_alpha 90.00
_cell_angle_beta 106.16
_cell_angle_gamma 90.00
loop_
_symmetry_equiv_pos_as_xyz
'x,y,z'
loop_
_atom_site_label
_atom_site_type_symbol
_atom_site_fract_x
_atom_site_fract_y
_atom_site_fract_z
Mg1 Mg 0.000 0.000 0.000
Mg2 Mg 0.500 0.500 0.000
Re1 Re 0.250 0.250 0.500
Re2 Re 0.250 0.750 0.500
Re3 Re 0.750 0.250 0.500
Re4 Re 0.750 0.750 0.500
Ru1 Ru 0.000 0.500 0.000
Ru2 Ru 0.500 0.000 0.000
# Energy of formation from the pure elements, eV/atom: 0.274
# Symmetry: No. 12



# PBE-GGA CrTeRu3, optimized geometry
data_CrTeRu3
_chemical_formula_sum 'Cr1 Te1 Ru3'
_symmetry_space_group_name_H-M 'P 1'
_symmetry_Int_Tables_number 1
_cell_length_a 4.739
_cell_length_b 4.739
_cell_length_c 4.739
_cell_angle_alpha 90.00
_cell_angle_beta 90.00
_cell_angle_gamma 90.00
loop_
_symmetry_equiv_pos_as_xyz
'x,y,z'
loop_
_atom_site_label
_atom_site_type_symbol
_atom_site_fract_x
_atom_site_fract_y
_atom_site_fract_z
Cr1 Cr 0.000 0.000 0.000
Te1 Te 0.500 0.500 0.500
Ru1 Ru 0.000 0.500 0.500
Ru2 Ru 0.500 0.000 0.500
Ru3 Ru 0.500 0.500 0.000
# Raw formation energy, eV/atom: 2.040
# Symmetry: No. 221



# PBE-GGA TlAs2PSe, optimized geometry
data_TlAs2PSe
_chemical_formula_sum 'Tl1 As2 P1 Se1'
_symmetry_space_group_name_H-M 'P 1'
_symmetry_Int_Tables_number 1
_cell_length_a 5.143
_cell_length_b 5.143
_cell_length_c 4.864
_cell_angle_alpha 90.00
_cell_angle_beta 90.00
_cell_angle_gamma 90.00
loop_
_symmetry_equiv_pos_as_xyz
'x,y,z'
loop_
_atom_site_label
_atom_site_type_symbol
_atom_site_fract_x
_atom_site_fract_y
_atom_site_fract_z
Tl1 Tl 0.000 0.000 0.000
As1 As 0.000 0.500 0.500
As2 As 0.500 0.000 0.500
P1 P 0.500 0.500 0.000
Se1 Se 0.500 0.500 0.500
# Offset from the most stable computed form, eV/atom: 0.323
# Raw formation energy, eV/atom: 0.745
# Symmetry: No. 123